A plane-wave DFT calculation with PBE+U was carried out for a relaxed Ac3Mo5O12 crystal.

Structure (POSCAR):
```
Ac3Mo5O12
1.0
-6.850 6.850 6.850
6.850 -6.850 6.850
6.850 6.850 -6.850
Ac Mo O
12 20 48
Direct
0.125 0.250 0.375 Ac
0.125 0.375 0.750 Ac
0.250 0.375 0.125 Ac
0.250 0.875 0.625 Ac
0.375 0.125 0.250 Ac
0.375 0.750 0.125 Ac
0.625 0.250 0.875 Ac
0.625 0.875 0.750 Ac
0.750 0.125 0.375 Ac
0.750 0.625 0.875 Ac
0.875 0.625 0.250 Ac
0.875 0.750 0.625 Ac
0.000 0.000 0.000 Mo
0.000 0.000 0.500 Mo
0.000 0.500 0.000 Mo
0.000 0.500 0.500 Mo
0.125 0.750 0.875 Mo
0.125 0.875 0.250 Mo
0.250 0.125 0.875 Mo
0.250 0.625 0.375 Mo
0.375 0.250 0.625 Mo
0.375 0.625 0.750 Mo
0.500 0.000 0.000 Mo
0.500 0.000 0.500 Mo
0.500 0.500 0.000 Mo
0.500 0.500 0.500 Mo
0.625 0.375 0.250 Mo
0.625 0.750 0.375 Mo
0.750 0.375 0.625 Mo
0.750 0.875 0.125 Mo
0.875 0.125 0.750 Mo
0.875 0.250 0.125 Mo
0.028 0.201 0.131 O
0.028 0.327 0.897 O
0.070 0.701 0.673 O
0.070 0.869 0.397 O
0.103 0.631 0.430 O
0.103 0.972 0.673 O
0.131 0.028 0.201 O
0.131 0.603 0.930 O
0.173 0.201 0.570 O
0.173 0.472 0.603 O
0.201 0.131 0.028 O
0.201 0.570 0.173 O
0.299 0.327 0.930 O
0.299 0.472 0.369 O
0.327 0.897 0.028 O
0.327 0.930 0.299 O
0.369 0.299 0.472 O
0.369 0.570 0.897 O
0.397 0.070 0.869 O
0.397 0.827 0.528 O
0.430 0.103 0.631 O
0.430 0.827 0.799 O
0.472 0.369 0.299 O
0.472 0.603 0.173 O
0.528 0.397 0.827 O
0.528 0.631 0.701 O
0.570 0.173 0.201 O
0.570 0.897 0.369 O
0.603 0.173 0.472 O
0.603 0.930 0.131 O
0.631 0.430 0.103 O
0.631 0.701 0.528 O
0.673 0.070 0.701 O
0.673 0.103 0.972 O
0.701 0.528 0.631 O
0.701 0.673 0.070 O
0.799 0.430 0.827 O
0.799 0.869 0.972 O
0.827 0.528 0.397 O
0.827 0.799 0.430 O
0.869 0.397 0.070 O
0.869 0.972 0.799 O
0.897 0.028 0.327 O
0.897 0.369 0.570 O
0.930 0.131 0.603 O
0.930 0.299 0.327 O
0.972 0.673 0.103 O
0.972 0.799 0.869 O
```

E	-7.485	eV/atom
total magnetic moment	15.0	μB/f.u.